No. 1
Density functional theory data (PBE) for crystalline Th4CdCu2 at its relaxed geometry.

```
Th4CdCu2
1.0
2.566 1.481 8.343
-2.566 1.481 8.343
0.000 -2.963 8.343
Th Cd Cu
4 1 2
Direct
0.117 0.117 0.117
0.284 0.284 0.284
0.716 0.716 0.716
0.883 0.883 0.883
0.500 0.500 0.500
0.395 0.395 0.395
0.605 0.605 0.605
```

Computed properties:
- uncorrected energy (eV/cell) = -37.6
- ΔH_f (0 K) (meV per atom) = 167
- SG = R-3m, No. 166

---

No. 2
Density functional theory data (PBE) for crystalline Ho5InCo2 at its relaxed geometry.

```
Ho5InCo2
1.0
-3.790 3.790 6.724
3.790 -3.790 6.724
3.790 3.790 -6.724
Ho In Co
10 2 4
Direct
0.000 0.000 0.000
0.031 0.531 0.822
0.208 0.031 0.500
0.292 0.792 0.822
0.469 0.292 0.500
0.500 0.500 0.000
0.531 0.708 0.500
0.708 0.208 0.178
0.792 0.969 0.500
0.969 0.469 0.178
0.250 0.250 0.000
0.750 0.750 0.000
0.134 0.366 0.500
0.366 0.866 0.232
0.634 0.134 0.768
0.866 0.634 0.500
```

Computed properties:
- uncorrected energy (eV/cell) = -84.0
- ΔH_f (0 K) (meV per atom) = -268
- SG = I4/mcm, No. 140

---

No. 3
Density functional theory data (PBE) for crystalline ReTeNO2 at its relaxed geometry.

```
ReTeNO2
1.0
4.026 0.000 0.000
0.000 4.026 0.000
0.000 0.000 4.377
Re Te N O
1 1 1 2
Direct
0.000 0.000 0.000
0.500 0.500 0.500
0.500 0.500 0.000
0.000 0.500 0.500
0.500 0.000 0.500
```

Computed properties:
- uncorrected energy (eV/cell) = -28.4
- ΔE_f (raw) (eV per formula unit) = 5.4
- SG = P4/mmm, No. 123

---

No. 4
Density functional theory data (PBE) for crystalline CrRh2AuN at its relaxed geometry.

```
CrRh2AuN
1.0
4.136 0.000 0.000
0.000 4.136 0.000
0.000 0.000 3.944
Cr Rh Au N
1 2 1 1
Direct
0.000 0.000 0.000
0.000 0.500 0.500
0.500 0.000 0.500
0.500 0.500 0.000
0.000 0.000 0.500
```

Computed properties:
- uncorrected energy (eV/cell) = -35.8
- ΔE_f (raw) (eV per formula unit) = 0.1
- SG = P4/mmm, No. 123